1.
{
  "formula": "Sm2Pu3ThSe6",
  "functional": "PBE-GGA",
  "state": "relaxed",
  "cell": [[-1.6195, 0.7252, -3.3079], [-5.3718, -8.7949, 0.7019], [1.5865, 14.3553, 4.5003]],
  "species": ["Se", "Pu", "Se", "Pu", "Se", "Th", "Se", "Se", "Se", "Sm", "Sm", "Pu"],
  "fractional_positions": [[0.0007, 0.2385, 0.0015], [0.6767, 0.1616, 0.3534], [0.9993, 0.7615, 0.9985], [0.5000, 0.5000, 0.0000], [0.3174, 0.5439, 0.6348], [0.5000, 0.0000, 0.0000], [0.8468, 0.1200, 0.6937], [0.1532, 0.8800, 0.3063], [0.6826, 0.4561, 0.3652], [0.6618, 0.6808, 0.3235], [0.3382, 0.3192, 0.6765], [0.3233, 0.8384, 0.6466]],
  "raw_formation_energy_ev_per_atom": -1.36
}

---

2.
{
  "formula": "LiUTlS3",
  "functional": "PBE-GGA",
  "state": "relaxed",
  "cell": [[-0.6177, 1.7967, 3.5745], [-8.3027, -2.8649, 0.0054], [4.8555, -6.4315, 4.0717]],
  "species": ["S", "Tl", "U", "Li", "S", "Li", "S", "S", "Tl", "U", "S", "S"],
  "fractional_positions": [[0.2500, 0.7970, 0.4535], [0.7500, 0.7955, 0.7469], [0.7500, 0.3252, 0.8465], [0.7500, 0.9238, 0.4039], [0.7500, 0.4659, 0.1565], [0.2500, 0.0762, 0.5961], [0.2500, 0.1324, 0.8744], [0.2500, 0.5341, 0.8435], [0.2500, 0.2045, 0.2531], [0.2500, 0.6748, 0.1535], [0.7500, 0.2030, 0.5465], [0.7500, 0.8676, 0.1256]],
  "raw_formation_energy_ev_per_atom": -1.13
}